(1)
Density functional theory data (PBE) for a relaxed Cs2TiMo crystal.

Computed properties:
Formation energy (kJ/mol of atoms): 133.1
Excess energy over the best structure of this formula in the dataset (eV/atom): 0.000

Cell and atoms, written as CIF:
```
data_Cs2TiMo
_chemical_formula_sum 'Cs4 Ti2 Mo2'
_symmetry_space_group_name_H-M 'P 1'
_symmetry_Int_Tables_number 1
_cell_length_a 10.421
_cell_length_b 10.421
_cell_length_c 10.421
_cell_angle_alpha 92.72
_cell_angle_beta 92.72
_cell_angle_gamma 154.83
loop_
_symmetry_equiv_pos_as_xyz
'x,y,z'
loop_
_atom_site_label
_atom_site_fract_x
_atom_site_fract_y
_atom_site_fract_z
Cs1 0.125 0.886 0.261
Cs2 0.136 0.875 0.761
Cs3 0.114 0.375 0.239
Cs4 0.625 0.864 0.739
Ti1 0.500 0.500 0.000
Ti2 0.750 0.250 0.500
Mo1 0.250 0.750 0.500
Mo2 0.000 0.000 0.000
```

(2)
Density functional theory data (PBE) for a relaxed NaTl5Bi2 crystal.

Computed properties:
Formation energy (kJ/mol of atoms): -7.3
Excess energy over the best structure of this formula in the dataset (eV/atom): 0.000

Cell and atoms, written as CIF:
```
data_NaTl5Bi2
_chemical_formula_sum 'Na2 Tl10 Bi4'
_symmetry_space_group_name_H-M 'P 1'
_symmetry_Int_Tables_number 1
_cell_length_a 4.926
_cell_length_b 7.063
_cell_length_c 14.137
_cell_angle_alpha 90.00
_cell_angle_beta 90.00
_cell_angle_gamma 90.00
loop_
_symmetry_equiv_pos_as_xyz
'x,y,z'
loop_
_atom_site_label
_atom_site_fract_x
_atom_site_fract_y
_atom_site_fract_z
Tl1 0.000 0.999 0.251
Tl2 0.500 0.252 0.875
Tl3 0.500 0.248 0.375
Tl4 0.500 0.752 0.625
Tl5 0.000 0.501 0.751
Tl6 0.000 0.499 0.249
Tl7 0.000 0.000 0.000
Tl8 0.000 0.500 0.500
Tl9 0.000 0.001 0.749
Tl10 0.500 0.748 0.125
Bi1 0.500 0.755 0.873
Bi2 0.500 0.745 0.373
Bi3 0.500 0.255 0.627
Bi4 0.500 0.245 0.127
Na1 0.000 0.000 0.500
Na2 0.000 0.500 0.000
```

(3)
Density functional theory data (PBE) for a relaxed PtW3I crystal.

Computed properties:
Formation energy (no corrections) (eV/atom): 2.87
Excess energy over the best structure of this formula in the dataset (eV/atom): 0.578

Cell and atoms, written as CIF:
```
data_PtW3I
_chemical_formula_sum 'Pt1 W3 I1'
_symmetry_space_group_name_H-M 'P 1'
_symmetry_Int_Tables_number 1
_cell_length_a 4.801
_cell_length_b 4.801
_cell_length_c 4.801
_cell_angle_alpha 90.00
_cell_angle_beta 90.00
_cell_angle_gamma 90.00
loop_
_symmetry_equiv_pos_as_xyz
'x,y,z'
loop_
_atom_site_label
_atom_site_fract_x
_atom_site_fract_y
_atom_site_fract_z
W1 0.500 0.000 0.000
W2 0.000 0.500 0.000
W3 0.000 0.000 0.500
Pt1 0.500 0.500 0.500
I1 0.000 0.000 0.000
```

(4)
Density functional theory data (PBE) for a relaxed Ta4Cr2Si5 crystal.

Computed properties:
Formation energy (no corrections) (eV/atom): -0.47

Cell and atoms, written as CIF:
```
data_Ta4Cr2Si5
_chemical_formula_sum 'Ta8 Cr4 Si10'
_symmetry_space_group_name_H-M 'P 1'
_symmetry_Int_Tables_number 1
_cell_length_a 4.934
_cell_length_b 7.859
_cell_length_c 9.358
_cell_angle_alpha 114.83
_cell_angle_beta 105.29
_cell_angle_gamma 90.00
loop_
_symmetry_equiv_pos_as_xyz
'x,y,z'
loop_
_atom_site_label
_atom_site_fract_x
_atom_site_fract_y
_atom_site_fract_z
Ta1 0.643 0.032 0.286
Ta2 0.936 0.190 0.871
Ta3 0.064 0.810 0.129
Ta4 0.436 0.681 0.871
Ta5 0.143 0.254 0.286
Ta6 0.857 0.746 0.714
Ta7 0.357 0.968 0.714
Ta8 0.564 0.319 0.129
Cr1 0.056 0.306 0.612
Cr2 0.944 0.694 0.388
Cr3 0.444 0.694 0.388
Cr4 0.556 0.306 0.612
Si1 0.570 0.652 0.141
Si2 0.250 0.000 0.000
Si3 0.930 0.512 0.859
Si4 0.070 0.488 0.141
Si5 0.750 0.000 0.000
Si6 0.218 0.011 0.437
Si7 0.282 0.574 0.563
Si8 0.430 0.348 0.859
Si9 0.718 0.426 0.437
Si10 0.782 0.989 0.563
```

(5)
Density functional theory data (PBE) for a relaxed DyZnRuRh crystal.

Computed properties:
Formation energy (kJ/mol of atoms): -31.5

Cell and atoms, written as CIF:
```
data_DyZnRuRh
_chemical_formula_sum 'Dy1 Zn1 Ru1 Rh1'
_symmetry_space_group_name_H-M 'P 1'
_symmetry_Int_Tables_number 1
_cell_length_a 4.549
_cell_length_b 4.549
_cell_length_c 4.549
_cell_angle_alpha 60.00
_cell_angle_beta 60.00
_cell_angle_gamma 60.00
loop_
_symmetry_equiv_pos_as_xyz
'x,y,z'
loop_
_atom_site_label
_atom_site_fract_x
_atom_site_fract_y
_atom_site_fract_z
Zn1 0.000 0.000 0.000
Ru1 0.750 0.750 0.750
Rh1 0.250 0.250 0.250
Dy1 0.500 0.500 0.500
```